MgMo2O4 PBE+U optimized geometry; distance to the lowest polymorph of the same formula = 14.5 kJ/mol of atoms; calculated total energy = -6.852 eV/atom; volume = 187 Å³/cell; density = 5.0 g/cm3
1.0
1.5844 7.8250 0.0021
-1.5844 7.8250 0.0021
0.0000 6.3558 7.5516
Mo O Mg
4 8 2
Direct
0.1415 0.1415 0.6829 Mo
0.3653 0.3653 0.9458 Mo
0.6347 0.6347 0.0542 Mo
0.8585 0.8585 0.3171 Mo
0.4620 0.4620 0.2710 O
0.5380 0.5380 0.7290 O
0.1362 0.1362 0.9111 O
0.1733 0.1733 0.1729 O
0.7759 0.7759 0.5983 O
0.2241 0.2241 0.4017 O
0.8267 0.8267 0.8271 O
0.8638 0.8638 0.0889 O
0.6898 0.6898 0.2983 Mg
0.3102 0.3102 0.7017 Mg